No. 1
! Cu7Ag3 | the Open Quantum Materials Database | PBE-GGA | optimized geometry; values from VASP
! DFT formation energy ... 0.10 eV/atom
! Volume ... 13.85 Å³/atom
! Uncorrected energy ... -3.35 eV/atom
&SYSTEM
  ibrav = 0, nat = 10, ntyp = 2
/
ATOMIC_SPECIES
Cu 63.55 Cu.upf
Ag 107.87 Ag.upf
CELL_PARAMETERS angstrom
2.3386 -6.7758 0.0000
2.3386 6.7758 0.0000
-1.5429 0.0000 4.3689
ATOMIC_POSITIONS angstrom
Cu 0.0000 0.0000 0.0000
Cu 2.3386 3.9860 0.0000
Cu 1.5672 2.7306 2.1845
Cu 2.3386 1.4212 0.0000
Cu 2.3386 -1.4212 0.0000
Cu 1.5672 -2.7306 2.1845
Cu 2.3386 -3.9860 0.0000
Ag 1.5672 5.3290 2.1845
Ag 1.5672 0.0000 2.1845
Ag 1.5672 -5.3290 2.1845


No. 2
! HfZrHg2 | the Open Quantum Materials Database | PBE-GGA | optimized geometry; values from VASP
! DFT formation energy ... -0.07 eV/atom
! Volume ... 21.87 Å³/atom
! Uncorrected energy ... -4.85 eV/atom
&SYSTEM
  ibrav = 0, nat = 4, ntyp = 3
/
ATOMIC_SPECIES
Hf 178.49 Hf.upf
Zr 91.22 Zr.upf
Hg 200.59 Hg.upf
CELL_PARAMETERS angstrom
3.1490 0.0000 0.0000
0.0000 3.1490 0.0000
0.0000 0.0000 8.8212
ATOMIC_POSITIONS angstrom
Hf 0.0000 0.0000 0.0000
Zr 1.5745 1.5745 2.2075
Hg 0.0000 0.0000 4.4086
Hg 1.5745 1.5745 6.6616


No. 3
! NaTbTm | the Open Quantum Materials Database | PBE-GGA | optimized geometry; values from VASP
! Volume ... 35.02 Å³/atom
! Uncorrected energy ... -2.63 eV/atom
&SYSTEM
  ibrav = 0, nat = 3, ntyp = 3
/
ATOMIC_SPECIES
Na 22.99 Na.upf
Tb 158.93 Tb.upf
Tm 168.93 Tm.upf
CELL_PARAMETERS angstrom
0.0000 3.7450 3.7450
3.7450 0.0000 3.7450
3.7450 3.7450 0.0000
ATOMIC_POSITIONS angstrom
Na 0.0000 0.0000 0.0000
Tb 5.6175 5.6175 5.6175
Tm 1.8725 1.8725 1.8725


No. 4
! LaCuTePbS2 | the Open Quantum Materials Database | PBE-GGA | optimized geometry; values from VASP
! Volume ... 27.59 Å³/atom
! Uncorrected energy ... -4.97 eV/atom
&SYSTEM
  ibrav = 0, nat = 12, ntyp = 5
/
ATOMIC_SPECIES
La 138.91 La.upf
Cu 63.55 Cu.upf
Te 127.60 Te.upf
Pb 207.20 Pb.upf
S 32.06 S.upf
CELL_PARAMETERS angstrom
2.0700 -6.9492 0.0000
2.0700 6.9492 0.0000
0.0000 0.0000 11.5083
ATOMIC_POSITIONS angstrom
La 0.0000 0.0000 0.0000
La 0.0000 0.0000 5.7541
Cu 2.0700 0.3002 8.6312
Cu 2.0700 -0.3002 2.8771
Te 2.0700 5.5225 8.6312
Te 2.0700 -5.5225 2.8771
Pb 2.0700 4.0132 2.8771
Pb 2.0700 -4.0132 8.6312
S 2.0700 1.7097 6.7756
S 2.0700 1.7097 10.4869
S 2.0700 -1.7097 1.0214
S 2.0700 -1.7097 4.7327